1.
Material: Er2AlNi3Ge4
Method: DFT, GGA-PBE
State: optimized geometry

Geometry as POSCAR:
```
Er2AlNi3Ge4
1.0
3.9885 0.0000 0.0000
0.0000 3.9885 0.0000
0.0000 0.0000 10.3624
Er Al Ni Ge
2 1 3 4
Direct
0.0000 0.5000 0.2407
0.5000 0.0000 0.7593
0.0000 0.0000 0.5000
0.0000 0.5000 0.8722
0.5000 0.0000 0.1278
0.5000 0.5000 0.5000
0.0000 0.0000 0.0000
0.0000 0.5000 0.6487
0.5000 0.0000 0.3513
0.5000 0.5000 0.0000
```

Properties
- ΔE_f: -0.648 eV per atom

2.
Material: ErAlGeO5
Method: DFT, GGA-PBE
State: optimized geometry

Geometry as POSCAR:
```
ErAlGeO5
1.0
7.2790 0.0000 0.0000
0.0000 8.3694 0.0000
0.0000 0.0000 5.6520
Er Al Ge O
4 4 4 20
Direct
0.1431 0.1737 0.0000
0.3569 0.6737 0.0000
0.6431 0.3263 0.0000
0.8569 0.8263 0.0000
0.0000 0.5000 0.2486
0.0000 0.5000 0.7514
0.5000 0.0000 0.2486
0.5000 0.0000 0.7514
0.1204 0.8551 0.5000
0.3796 0.3551 0.5000
0.6204 0.6449 0.5000
0.8796 0.1449 0.5000
0.0000 0.0000 0.2834
0.0000 0.0000 0.7166
0.1077 0.7123 0.2509
0.1077 0.7123 0.7491
0.1523 0.4295 0.5000
0.1623 0.4454 0.0000
0.3377 0.9454 0.0000
0.3477 0.9295 0.5000
0.3923 0.2123 0.2509
0.3923 0.2123 0.7491
0.5000 0.5000 0.2834
0.5000 0.5000 0.7166
0.6077 0.7877 0.2509
0.6077 0.7877 0.7491
0.6523 0.0705 0.5000
0.6623 0.0546 0.0000
0.8377 0.5546 0.0000
0.8477 0.5705 0.5000
0.8923 0.2877 0.2509
0.8923 0.2877 0.7491
```

Properties
- Energy relative to the elements, uncorrected: -2.758 eV/atom

3.
Material: ErAl2GePd4
Method: DFT, GGA-PBE
State: optimized geometry

Geometry as POSCAR:
```
ErAl2GePd4
1.0
2.1803 1.2588 8.2364
-2.1803 1.2588 8.2364
0.0000 -2.5176 8.2364
Er Al Ge Pd
1 2 1 4
Direct
0.0000 0.0000 0.0000
0.2471 0.2471 0.2471
0.7529 0.7529 0.7529
0.5000 0.5000 0.5000
0.1310 0.1310 0.1310
0.3980 0.3980 0.3980
0.6020 0.6020 0.6020
0.8690 0.8690 0.8690
```

Properties
- ΔE_f: -0.716 eV per atom